Record 1
A geometry-optimized CaPuU2P4 structure. Source: Alexandria via LeMat-Bulk, functional PBE.

Spin magnetization   0.70 μB per atom
DOS(E_F)   2.733 states/eV per atom
DFT formation energy   -1.02 eV/atom
Total DFT energy (no corrections)   -8.59 eV per atom

a = 6.913 Å, b = 6.913 Å, c = 6.913 Å
α = 132.01°, β = 132.01°, γ = 70.21°
Sites, in units of the cell vectors:
Ca 0.000 0.000 0.000
Pu 0.250 0.750 0.500
U 0.500 0.500 0.000
U 0.750 0.250 0.500
P 0.259 0.259 0.000
P 0.504 0.004 0.500
P 0.741 0.741 0.000
P 0.996 0.496 0.500


Record 2
A geometry-optimized ZrPSe2F structure. Source: Alexandria via LeMat-Bulk, functional PBE.

Spin magnetization   0.19 μB per atom
DOS(E_F)   0.605 states/eV per atom
Total DFT energy (no corrections)   -5.12 eV per atom

a = 5.017 Å, b = 5.017 Å, c = 3.728 Å
α = 90.00°, β = 90.00°, γ = 90.00°
Sites, in units of the cell vectors:
Zr 0.000 0.000 0.000
P 0.500 0.500 0.500
Se 0.000 0.500 0.500
Se 0.500 0.000 0.500
F 0.500 0.500 0.000


Record 3
A geometry-optimized ZrAgRu structure. Source: Alexandria via LeMat-Bulk, functional PBE.

Energy above the most stable polymorph in this dataset   0 meV per atom
Spin magnetization   0.00 μB per atom
DOS(E_F)   0.950 states/eV per atom
DFT formation energy   -0.11 eV/atom
Total DFT energy (no corrections)   -7.00 eV per atom

a = 5.291 Å, b = 5.291 Å, c = 5.291 Å
α = 142.63°, β = 142.63°, γ = 53.88°
Sites, in units of the cell vectors:
Zr 0.000 0.000 0.000
Ag 0.686 0.686 0.000
Ru 0.362 0.362 0.000


Record 4
A geometry-optimized SrPm5Al3 structure. Source: Alexandria via LeMat-Bulk, functional PBE.

Spin magnetization   0.00 μB per atom
DOS(E_F)   0.972 states/eV per atom
DFT formation energy   -0.20 eV/atom
Total DFT energy (no corrections)   -4.27 eV per atom

a = 9.374 Å, b = 9.374 Å, c = 6.903 Å
α = 90.00°, β = 90.00°, γ = 120.00°
Sites, in units of the cell vectors:
Sr 0.000 0.000 0.000
Sr 0.000 0.000 0.500
Pm 0.000 0.336 0.250
Pm 0.000 0.664 0.750
Pm 0.333 0.667 0.000
Pm 0.333 0.667 0.500
Pm 0.336 0.000 0.250
Pm 0.336 0.336 0.750
Pm 0.664 0.000 0.750
Pm 0.664 0.664 0.250
Pm 0.667 0.333 0.000
Pm 0.667 0.333 0.500
Al 0.000 0.336 0.750
Al 0.000 0.664 0.250
Al 0.336 0.000 0.750
Al 0.336 0.336 0.250
Al 0.664 0.000 0.250
Al 0.664 0.664 0.750


Record 5
A geometry-optimized CrIr2W structure. Source: Alexandria via LeMat-Bulk, functional PBE.

Energy above the most stable polymorph in this dataset   449 meV per atom
Spin magnetization   0.00 μB per atom
DOS(E_F)   1.867 states/eV per atom
DFT formation energy   0.21 eV/atom
Total DFT energy (no corrections)   -9.87 eV per atom

a = 4.347 Å, b = 4.347 Å, c = 4.347 Å
α = 60.00°, β = 60.00°, γ = 60.00°
Sites, in units of the cell vectors:
Cr 0.000 0.000 0.000
Ir 0.250 0.250 0.250
Ir 0.500 0.500 0.500
W 0.750 0.750 0.750


Record 6
A geometry-optimized Er3Se structure. Source: Alexandria via LeMat-Bulk, functional PBE.

Energy above the most stable polymorph in this dataset   0 meV per atom
Spin magnetization   0.00 μB per atom
DOS(E_F)   0.955 states/eV per atom
Total DFT energy (no corrections)   -5.08 eV per atom

a = 6.196 Å, b = 6.196 Å, c = 9.437 Å
α = 90.00°, β = 90.00°, γ = 144.48°
Sites, in units of the cell vectors:
Er 0.068 0.932 0.750
Er 0.363 0.637 0.546
Er 0.363 0.637 0.954
Er 0.637 0.363 0.046
Er 0.637 0.363 0.454
Er 0.932 0.068 0.250
Se 0.238 0.762 0.250
Se 0.762 0.238 0.750


Number 1: calculated density 8.21 Mg/m³. Number 2: calculated density 5.29 Mg/m³. Number 3: calculated density 9.20 Mg/m³. Number 4: calculated density 5.65 Mg/m³. Number 5: calculated density 17.73 Mg/m³. Number 6: calculated density 9.16 Mg/m³.